1.
# HgSb2TeI (GGA-PBEsol, relaxed)
data_HgSb2TeI
_chemical_formula_sum 'Hg1 Sb2 Te1 I1'
_cell_length_a 5.585
_cell_length_b 5.585
_cell_length_c 5.436
_cell_angle_alpha 90.00
_cell_angle_beta 90.00
_cell_angle_gamma 90.00
_space_group_name_H-M_alt 'P 4/m m m'
_space_group_IT_number 123
_space_group_name_Hall '-P 4 2'
loop_
_atom_site_label
_atom_site_type_symbol
_atom_site_fract_x
_atom_site_fract_y
_atom_site_fract_z
Hg1 Hg 0.000 0.000 0.000
Sb1 Sb 0.000 0.500 0.000
Te1 Te 0.000 0.000 0.500
I1 I 0.500 0.500 0.500
# - energy above the lowest structure with this stoichiometry (eV per atom) = 0.000
# - energy relative to the elements, uncorrected (eV/f.u.) = 3.3
# - DOS(E_F) (states/eV/atom) = 1.21


2.
# HgSb2WI (GGA-PBEsol, relaxed)
data_HgSb2WI
_chemical_formula_sum 'Hg1 Sb2 W1 I1'
_cell_length_a 5.376
_cell_length_b 5.376
_cell_length_c 5.576
_cell_angle_alpha 90.00
_cell_angle_beta 90.00
_cell_angle_gamma 90.00
_space_group_name_H-M_alt 'P 4/m m m'
_space_group_IT_number 123
_space_group_name_Hall '-P 4 2'
loop_
_atom_site_label
_atom_site_type_symbol
_atom_site_fract_x
_atom_site_fract_y
_atom_site_fract_z
Hg1 Hg 0.000 0.000 0.000
Sb1 Sb 0.000 0.500 0.000
W1 W 0.500 0.500 0.500
I1 I 0.000 0.000 0.500
# - energy relative to the elements, uncorrected (eV/f.u.) = 9.3
# - DOS(E_F) (states/eV/atom) = 0.97


3.
# HgSbWI2 (GGA-PBEsol, relaxed)
data_HgSbWI2
_chemical_formula_sum 'Hg1 Sb1 W1 I2'
_cell_length_a 5.606
_cell_length_b 5.606
_cell_length_c 5.551
_cell_angle_alpha 90.00
_cell_angle_beta 90.00
_cell_angle_gamma 90.00
_space_group_name_H-M_alt 'P 4/m m m'
_space_group_IT_number 123
_space_group_name_Hall '-P 4 2'
loop_
_atom_site_label
_atom_site_type_symbol
_atom_site_fract_x
_atom_site_fract_y
_atom_site_fract_z
Hg1 Hg 0.000 0.000 0.000
Sb1 Sb 0.000 0.000 0.500
W1 W 0.500 0.500 0.500
I1 I 0.000 0.500 0.000
# - energy relative to the elements, uncorrected (eV/f.u.) = 8.7
# - DOS(E_F) (states/eV/atom) = 1.34


Values of V, in order: 169.59, 161.19, 174.48, all in Å³/f.u..